The following is a DFT calculation (PBE) of a relaxed Li6CdPb crystal.

Structure (POSCAR):
```
Li6CdPb
1.0
-7.004 -2.186 -1.447
-2.964 -5.677 3.887
-4.400 -0.635 2.957
Li Pb Cd
6 1 1
direct
0.002 0.497 0.254
0.500 0.247 0.252
0.998 0.503 0.746
0.754 0.000 0.742
0.500 0.753 0.748
0.246 0.000 0.258
0.000 0.000 0.000
0.500 0.500 0.500
```

Total magnetic moment: 0.00 μB per formula unit
D(E_F): 3.2 states/eV per cell
Energy of formation: -214 meV/atom
Distance to the lowest polymorph of the same formula: 0.31 eV per formula unit



The following is a DFT calculation (PBE) of a relaxed Li4CdPb crystal.

Structure (POSCAR):
```
Li4CdPb
1.0
4.695 -2.706 0.860
-0.069 -4.895 2.478
1.113 -4.543 -2.868
Li Pb Cd
4 1 1
direct
0.375 0.375 0.375
0.375 0.875 0.375
0.875 0.375 0.375
0.375 0.375 0.875
0.750 0.750 0.750
0.000 0.000 0.000
```

Total magnetic moment: 0.38 μB per formula unit
D(E_F): 2.4 states/eV per cell
Energy of formation: -117 meV/atom
Distance to the lowest polymorph of the same formula: 0.78 eV per formula unit



The following is a DFT calculation (PBE) of a relaxed Li2Cd2Pb crystal.

Structure (POSCAR):
```
Li2Cd2Pb
1.0
-4.983 -5.783 0.443
5.702 -4.991 -1.017
0.505 -0.158 3.610
Li Cd Pb
4 4 2
direct
0.143 0.357 0.000
0.643 0.143 0.000
0.357 0.857 0.000
0.857 0.643 0.000
0.647 0.853 0.500
0.853 0.353 0.500
0.353 0.147 0.500
0.147 0.647 0.500
0.500 0.500 0.000
0.000 0.000 0.000
```

Total magnetic moment: 0.00 μB per formula unit
D(E_F): 3.6 states/eV per cell
Energy of formation: -148 meV/atom
Distance to the lowest polymorph of the same formula: 0.23 eV per formula unit



The following is a DFT calculation (PBE) of a relaxed Li3CdPb12 crystal.

Structure (POSCAR):
```
Li3CdPb12
1.0
-1.771 -4.268 -1.139
1.674 -1.784 4.082
-17.338 4.743 9.183
Li Pb Cd
3 12 1
direct
0.000 0.000 0.254
0.000 0.000 0.746
0.000 0.000 0.500
0.500 0.500 0.000
0.500 0.500 0.500
0.500 0.000 0.624
0.500 0.500 0.747
0.500 0.000 0.376
0.000 0.500 0.624
0.500 0.000 0.870
0.000 0.500 0.870
0.000 0.500 0.130
0.000 0.500 0.376
0.500 0.500 0.253
0.500 0.000 0.130
0.000 0.000 0.000
```

Total magnetic moment: 0.00 μB per formula unit
D(E_F): 7.4 states/eV per cell
Energy of formation: -78 meV/atom



The following is a DFT calculation (PBE) of a relaxed Li4CdPb7 crystal.

Structure (POSCAR):
```
Li4CdPb7
1.0
5.696 0.000 0.000
2.848 7.791 0.664
2.848 0.893 7.201
Pb Li Cd
7 4 1
direct
0.723 0.320 0.234
0.071 0.606 0.253
0.782 0.875 0.561
0.277 0.680 0.766
0.218 0.125 0.439
0.929 0.394 0.747
0.500 0.000 0.000
0.686 0.650 0.979
0.541 0.274 0.644
0.314 0.350 0.021
0.459 0.726 0.356
0.000 0.000 0.000
```

Total magnetic moment: 0.00 μB per formula unit
D(E_F): 6.1 states/eV per cell
Energy of formation: -62 meV/atom



The following is a DFT calculation (PBE) of a relaxed Li7Cd2Pb crystal.

Structure (POSCAR):
```
Li7Cd2Pb
1.0
-2.690 -1.047 -3.766
4.730 -0.016 -0.384
0.177 -9.714 2.575
Li Cd Pb
7 2 1
direct
0.667 0.333 0.553
0.333 0.667 0.136
0.000 0.000 0.739
0.667 0.333 0.943
0.333 0.667 0.379
0.333 0.667 0.894
0.000 0.000 0.394
0.333 0.667 0.634
0.667 0.333 0.256
0.000 0.000 0.055
```

Total magnetic moment: 0.00 μB per formula unit
D(E_F): 4.9 states/eV per cell
Energy of formation: -145 meV/atom
Distance to the lowest polymorph of the same formula: 0.00 eV per formula unit



The following is a DFT calculation (PBE) of a relaxed Li6CdPb3 crystal.

Structure (POSCAR):
```
Li6CdPb3
1.0
-0.705 -4.053 -2.731
3.726 3.665 -6.402
7.161 -5.327 6.056
Li Cd Pb
12 2 6
direct
0.750 0.141 0.718
0.750 0.931 0.129
0.250 0.162 0.170
0.750 0.544 0.927
0.750 0.322 0.316
0.750 0.838 0.830
0.250 0.069 0.871
0.250 0.248 0.478
0.250 0.456 0.073
0.750 0.752 0.522
0.250 0.859 0.282
0.250 0.678 0.684
0.750 0.046 0.427
0.250 0.954 0.573
0.750 0.214 0.019
0.750 0.454 0.614
0.250 0.786 0.981
0.750 0.631 0.220
0.250 0.546 0.386
0.250 0.369 0.780
```

Total magnetic moment: 0.00 μB per formula unit
D(E_F): 5.6 states/eV per cell
Energy of formation: -269 meV/atom



The following is a DFT calculation (PBE) of a relaxed LiCd2Pb2 crystal.

Structure (POSCAR):
```
LiCd2Pb2
1.0
7.540 0.000 0.000
0.000 7.540 0.000
0.000 0.000 4.689
Pb Li Cd
4 2 4
direct
0.173 0.673 0.500
0.327 0.173 0.500
0.673 0.827 0.500
0.827 0.327 0.500
0.000 0.000 0.000
0.500 0.500 0.000
0.862 0.638 0.000
0.138 0.362 0.000
0.362 0.862 0.000
0.638 0.138 0.000
```

Total magnetic moment: 0.00 μB per formula unit
D(E_F): 4.5 states/eV per cell
Energy of formation: -11 meV/atom
Distance to the lowest polymorph of the same formula: 0.33 eV per formula unit



The following is a DFT calculation (PBE) of a relaxed Li2Cd2Pb crystal.

Structure (POSCAR):
```
Li2Cd2Pb
1.0
4.026 0.000 0.000
0.000 4.026 0.000
2.013 2.013 7.205
Cd Li Pb
2 2 1
direct
0.389 0.389 0.222
0.611 0.611 0.778
0.250 0.750 0.500
0.750 0.250 0.500
0.000 0.000 0.000
```

Total magnetic moment: 0.00 μB per formula unit
D(E_F): 1.7 states/eV per cell
Energy of formation: -53 meV/atom
Distance to the lowest polymorph of the same formula: 0.71 eV per formula unit



The following is a DFT calculation (PBE) of a relaxed Li3Cd6Pb crystal.

Structure (POSCAR):
```
Li3Cd6Pb
1.0
5.027 0.000 0.000
0.000 7.789 -2.587
0.000 -0.164 10.936
Cd Pb Li
12 2 6
direct
0.250 0.601 0.758
0.750 0.821 0.888
0.750 0.040 0.686
0.750 0.399 0.242
0.250 0.179 0.112
0.250 0.826 0.527
0.250 0.399 0.935
0.750 0.601 0.065
0.750 0.002 0.175
0.250 0.960 0.314
0.250 0.998 0.825
0.750 0.174 0.473
0.750 0.619 0.582
0.250 0.381 0.418
0.250 0.210 0.638
0.250 0.796 0.033
0.750 0.419 0.776
0.750 0.790 0.362
0.750 0.204 0.967
0.250 0.581 0.224
```

Total magnetic moment: 0.00 μB per formula unit
D(E_F): 5.8 states/eV per cell
Energy of formation: -160 meV/atom



The following is a DFT calculation (PBE) of a relaxed Li5Cd3Pb crystal.

Structure (POSCAR):
```
Li5Cd3Pb
1.0
-1.116 -8.974 -1.386
1.366 -7.744 4.675
-6.382 -3.621 3.348
Cd Li Pb
6 10 2
direct
0.000 0.000 0.500
0.505 0.505 0.668
0.495 0.495 0.332
0.323 0.323 0.997
0.677 0.677 0.003
0.000 0.000 0.000
0.667 0.667 0.674
0.343 0.657 0.000
0.850 0.850 0.950
0.333 0.333 0.326
0.087 0.571 0.661
0.913 0.429 0.339
0.571 0.087 0.661
0.429 0.913 0.339
0.150 0.150 0.050
0.657 0.343 0.000
0.173 0.173 0.661
0.827 0.827 0.339
```

Total magnetic moment: 0.00 μB per formula unit
D(E_F): 6.4 states/eV per cell
Energy of formation: -57 meV/atom